*1*
Compound: Nd2MgNi
Source: Alexandria via LeMat-Bulk
Functional: PBE
Structure: optimized geometry

```
Nd2MgNi
1.0
-3.493 3.854 0.461
-3.321 0.994 -3.905
-5.071 -1.123 0.536
Ni Mg Nd
1 1 2
direct
0.500 0.500 0.500
0.000 0.000 0.000
0.250 0.250 0.250
0.750 0.750 0.750
```

Space group: Fm-3m (225)
V, Å³ per atom: 25.17



*2*
Compound: Nd2MgNi
Source: Alexandria via LeMat-Bulk
Functional: PBE
Structure: optimized geometry

```
Nd2MgNi
1.0
3.561 0.000 0.000
0.000 3.561 0.000
0.000 0.000 8.071
Ni Mg Nd
1 1 2
direct
0.500 0.500 0.000
0.500 0.500 0.500
0.000 0.000 0.794
0.000 0.000 0.206
```

Space group: P4/mmm (123)
V, Å³ per atom: 25.59



*3*
Compound: Nd2MgNi
Source: Alexandria via LeMat-Bulk
Functional: PBE
Structure: optimized geometry

```
Nd2MgNi
1.0
-2.316 0.850 -2.757
-0.899 -6.308 1.286
-6.265 2.098 5.910
Nd Mg Ni
4 2 2
direct
0.364 0.730 0.559
0.636 0.270 0.441
0.364 0.730 0.941
0.636 0.270 0.059
0.923 0.848 0.250
0.077 0.152 0.750
0.745 0.492 0.750
0.255 0.508 0.250
```

Space group: P2_1/m (11)
V, Å³ per atom: 25.55



*4*
Compound: Nd2MgNi
Source: Alexandria via LeMat-Bulk
Functional: PBE
Structure: optimized geometry

```
Nd2MgNi
1.0
-0.068 0.665 3.650
-3.001 -0.891 1.993
2.961 -9.491 3.671
Ni Mg Nd
1 1 2
direct
0.500 0.500 0.500
0.000 0.000 0.000
0.111 0.111 0.668
0.889 0.889 0.332
```

Space group: R-3m (166)
V, Å³ per atom: 30.94



Stability, highest: *2*



*1*
Compound: NdMg4Ni2
Source: Alexandria via LeMat-Bulk
Functional: PBE
Structure: optimized geometry

```
NdMg4Ni2
1.0
3.860 0.000 0.000
0.000 8.522 0.000
0.000 0.000 8.522
Nd Mg Ni
2 8 4
direct
0.500 0.000 0.000
0.000 0.500 0.500
0.000 0.096 0.333
0.000 0.904 0.667
0.500 0.167 0.596
0.500 0.833 0.404
0.500 0.404 0.833
0.500 0.596 0.167
0.000 0.333 0.096
0.000 0.667 0.904
0.000 0.186 0.814
0.000 0.814 0.186
0.500 0.686 0.686
0.500 0.314 0.314
```

Space group: P4_2/mnm (136)
V, Å³ per atom: 20.02



*2*
Compound: NdMg4Ni2
Source: Alexandria via LeMat-Bulk
Functional: PBE
Structure: optimized geometry

```
NdMg4Ni2
1.0
4.194 0.000 0.000
0.000 4.206 0.000
0.000 -2.103 8.026
Nd Mg Ni
1 4 2
direct
0.000 0.000 0.000
0.500 0.826 0.652
0.000 0.674 0.347
0.500 0.174 0.348
0.000 0.326 0.653
0.500 0.573 0.145
0.500 0.427 0.855
```

Space group: Cmmm (65)
V, Å³ per atom: 20.22



Stability, highest: *1*



*1*
Compound: NdMg3Ni
Source: Alexandria via LeMat-Bulk
Functional: PBE
Structure: optimized geometry

```
NdMg3Ni
1.0
4.371 0.000 0.000
0.000 6.906 -2.716
0.000 -0.099 7.420
Nd Mg Ni
2 6 2
direct
0.500 0.702 0.298
0.500 0.298 0.702
0.500 0.000 0.000
0.000 0.071 0.319
0.000 0.929 0.681
0.000 0.681 0.929
0.000 0.500 0.500
0.000 0.319 0.071
0.500 0.323 0.323
0.500 0.677 0.677
```

Space group: Cmmm (65)
V, Å³ per atom: 22.28



*2*
Compound: NdMg3Ni
Source: Alexandria via LeMat-Bulk
Functional: PBE
Structure: optimized geometry

```
NdMg3Ni
1.0
4.559 0.000 0.000
0.000 4.754 0.000
0.000 -2.377 5.396
Nd Mg Ni
1 3 1
direct
0.500 0.029 0.058
0.000 0.537 0.075
0.000 0.265 0.530
0.500 0.740 0.481
0.500 0.388 0.776
```

Space group: Amm2 (38)
V, Å³ per atom: 23.39



Stability, highest: *1*



*1*
Compound: Nd4MgNi
Source: Alexandria via LeMat-Bulk
Functional: PBE
Structure: optimized geometry

```
Nd4MgNi
1.0
6.803 0.000 -0.361
0.000 7.723 0.000
-0.455 0.000 7.326
Nd Mg Ni
8 2 2
direct
0.933 0.638 0.178
0.567 0.138 0.822
0.317 0.326 0.363
0.183 0.826 0.637
0.067 0.362 0.822
0.433 0.862 0.178
0.683 0.674 0.637
0.817 0.174 0.363
0.000 0.000 0.000
0.500 0.500 0.000
0.500 0.000 0.500
0.000 0.500 0.500
```

Space group: P2_1/c (14)
V, Å³ per atom: 31.97



*2*
Compound: Nd4MgNi
Source: Alexandria via LeMat-Bulk
Functional: PBE
Structure: optimized geometry

```
Nd4MgNi
1.0
-5.937 -6.409 -4.729
-2.616 -8.517 4.393
-9.346 -1.326 3.096
Nd Mg Ni
16 4 4
direct
0.810 0.190 0.190
0.190 0.810 0.810
0.190 0.810 0.190
0.810 0.190 0.810
0.190 0.190 0.810
0.810 0.810 0.190
0.936 0.564 0.564
0.564 0.936 0.936
0.564 0.936 0.564
0.936 0.564 0.936
0.564 0.564 0.936
0.936 0.936 0.564
0.346 0.346 0.346
0.346 0.346 0.962
0.346 0.962 0.346
0.962 0.346 0.346
0.579 0.579 0.579
0.579 0.579 0.263
0.579 0.263 0.579
0.263 0.579 0.579
0.142 0.142 0.142
0.142 0.142 0.573
0.142 0.573 0.142
0.573 0.142 0.142
```

Space group: F-43m (216)
V, Å³ per atom: 28.89



Stability, highest: *2*



*1*
Compound: Nd3MgNi
Source: Alexandria via LeMat-Bulk
Functional: PBE
Structure: optimized geometry

```
Nd3MgNi
1.0
5.426 0.000 0.000
0.000 5.426 0.000
0.000 0.000 5.426
Ni Mg Nd
1 1 3
direct
0.000 0.000 0.000
0.500 0.500 0.500
0.000 0.500 0.000
0.000 0.000 0.500
0.500 0.000 0.000
```

Space group: Pm-3m (221)
V, Å³ per atom: 31.96



*2*
Compound: Nd3MgNi
Source: Alexandria via LeMat-Bulk
Functional: PBE
Structure: optimized geometry

```
Nd3MgNi
1.0
5.732 0.000 0.000
0.000 11.271 -0.506
0.000 -4.880 9.115
Nd Mg Ni
12 4 4
direct
0.174 0.644 0.992
0.826 0.356 0.008
0.674 0.856 0.008
0.326 0.144 0.992
0.705 0.463 0.715
0.295 0.537 0.285
0.205 0.037 0.285
0.795 0.963 0.715
0.227 0.228 0.694
0.773 0.772 0.306
0.727 0.272 0.306
0.273 0.728 0.694
0.784 0.610 0.500
0.216 0.390 0.500
0.284 0.890 0.500
0.716 0.110 0.500
0.356 0.408 0.979
0.644 0.592 0.021
0.856 0.092 0.021
0.144 0.908 0.979
```

Space group: P2_1/c (14)
V, Å³ per atom: 28.73



Stability, highest: *2*



*1*
Compound: Nd2MgO
Source: Alexandria via LeMat-Bulk
Functional: PBE
Structure: optimized geometry

```
Nd2MgO
1.0
3.160 0.000 0.000
0.000 3.160 0.000
0.000 0.000 8.749
Mg Nd O
1 2 1
direct
0.500 0.500 0.500
0.000 0.000 0.818
0.000 0.000 0.182
0.500 0.500 0.000
```

Space group: P4/mmm (123)
V, Å³ per atom: 21.84



*2*
Compound: Nd2MgO
Source: Alexandria via LeMat-Bulk
Functional: PBE
Structure: optimized geometry

```
Nd2MgO
1.0
-3.339 0.251 1.377
-0.487 -0.046 3.588
-0.483 9.375 1.882
Mg Nd O
1 2 1
direct
0.000 0.000 0.000
0.118 0.118 0.646
0.882 0.882 0.354
0.500 0.500 0.500
```

Space group: R-3m (166)
V, Å³ per atom: 26.52



Stability, highest: *2*